Compound: LaGe2IrRh2
Source: the Alexandria database
Functional: GGA-PBE
Structure: optimized geometry

Cell: 4.689 4.689 5.597 Å, 90.00 90.00 90.00°
Fractional coordinates of all 6 atoms:
Rh  0.500  0.500  0.251
Ir  0.000  0.000  0.000
La  0.000  0.000  0.500
Rh  0.500  0.500  0.749
Ge  0.500  0.000  0.000
Ge  0.000  0.500  0.000

Output
E   -6.5333 eV/atom
DOS(E_F)   5.26 states/eV/f.u.
Theoretical density   9.21 g cm⁻³